No. 1
YTmIn4Pt2: optimized geometry, PBE.

abc: 7.3974 5.7193 5.7193
angles: 46.28 90.00 90.00
Atoms (fractional coordinates):
Y 0.0000 0.0000 0.0000
Tm 0.5000 0.8480 0.8480
In 0.2033 0.2882 0.2882
In 0.2982 0.5601 0.5601
In 0.7018 0.5601 0.5601
In 0.7967 0.2882 0.2882
Pt 0.0000 0.7162 0.7162
Pt 0.5000 0.1304 0.1304

Calculated values
space group: Amm2 (38)
theoretical density: 10.5 g/cm3
calculated total energy: -4.98 eV/atom
total magnetic moment: 0.005 μB per formula unit

No. 2
YTmIn2Pt4: optimized geometry, PBE.

abc: 4.5747 4.5747 8.9880
angles: 90.00 90.00 120.00
Atoms (fractional coordinates):
Y 0.0000 0.0000 0.0000
Tm 0.3333 0.6667 0.5000
In 0.6667 0.3333 0.2511
In 0.6667 0.3333 0.7489
Pt 0.0000 0.0000 0.3445
Pt 0.0000 0.0000 0.6555
Pt 0.3333 0.6667 0.1608
Pt 0.3333 0.6667 0.8392

Calculated values
space group: P-6m2 (187)
theoretical density: 12.9 g/cm3
calculated total energy: -6.05 eV/atom
total magnetic moment: 0.012 μB per formula unit

No. 3
InPtW2: optimized geometry, PBE.

abc: 4.5862 4.5862 4.5862
angles: 60.00 60.00 60.00
Atoms (fractional coordinates):
In 0.0000 0.0000 0.0000
Pt 0.2500 0.2500 0.2500
W 0.5000 0.5000 0.5000
W 0.7500 0.7500 0.7500

Calculated values
space group: F-43m (216)
theoretical density: 16.5 g/cm3
calculated total energy: -8.31 eV/atom
total magnetic moment: 0.001 μB per formula unit